LiCa2Au PBE relaxed; E = -2.502 eV/atom; mass density = 3941 kg/m3; SG = I-42d
1.0
-6.402 -1.458 5.149
0.463 -8.149 -1.732
-0.773 -5.233 4.318
Ca Au Li
4 2 2
direct
0.659 0.125 0.250
0.091 0.625 0.250
0.375 0.341 0.750
0.875 0.909 0.750
0.000 0.000 0.000
0.750 0.250 0.500
0.500 0.500 0.000
0.250 0.750 0.500